[1]
{"formula": "ScBeTc", "functional": "PBE", "state": "relaxed", "lattice": [[0.000, 2.985, 2.985], [2.985, 0.000, 2.985], [2.985, 2.985, 0.000]], "species": ["Sc", "Be", "Tc"], "fractional_positions": [[0.000, 0.000, 0.000], [0.750, 0.750, 0.750], [0.250, 0.250, 0.250]], "space_group": "F-43m (216)", "vol_a3_per_atom": 17.733, "magmom_total_mub_per_cell": 0.62, "e_above_lowest_polymorph_mev_per_atom": 535}

[2]
{"formula": "RePb2", "functional": "PBE", "state": "relaxed", "lattice": [[0.000, 4.306, 4.306], [4.306, 0.000, 4.306], [4.306, 4.306, 0.000]], "species": ["Re", "Re", "Pb", "Pb", "Pb", "Pb"], "fractional_positions": [[0.125, 0.125, 0.125], [0.875, 0.875, 0.875], [0.000, 0.500, 0.500], [0.500, 0.000, 0.500], [0.500, 0.500, 0.000], [0.500, 0.500, 0.500]], "space_group": "Fd-3m (227)", "vol_a3_per_atom": 26.612, "magmom_total_mub_per_cell": 5.93, "e_above_lowest_polymorph_mev_per_atom": 581}